Sr3Te4Pb | Alexandria | PBE | optimized geometry; DOS(E_F) = 0.00 states/eV/f.u.; space-group type = Pmmn (59); VASP energy = -3.957 eV/atom; formation energy without anion corrections = -1.292 eV per atom
1.0
-1.257 -1.842 6.242
-1.727 -9.137 -3.044
10.946 -2.553 1.451
Sr Pb Te
6 2 8
Cartesian
1.492 -6.859 -1.271
6.917 -5.985 3.599
6.984 -8.140 -0.543
1.463 -4.713 2.876
5.115 -2.863 0.639
-2.159 -8.709 0.968
-0.375 -1.672 -0.116
3.330 -9.899 1.721
-1.006 -2.605 3.004
0.879 -7.789 1.851
4.488 -3.772 3.764
-1.533 -7.800 -2.157
6.338 -9.062 2.575
2.076 -3.783 -0.245
3.960 -8.968 -1.393
7.563 -5.063 0.482

***

ScNi2P | Alexandria | PBE | optimized geometry; DOS(E_F) = 2.56 states/eV/f.u.; space-group type = Pnma (62); VASP energy = -6.707 eV/atom
1.0
4.932 0.000 0.000
0.000 6.365 0.000
0.000 0.000 13.548
Ni P Sc
16 8 8
Cartesian
2.276 3.521 3.890
3.702 3.527 0.492
1.230 0.344 13.056
2.656 2.843 9.657
1.230 2.838 13.056
0.190 6.026 10.664
3.702 6.020 0.492
1.236 2.838 6.282
3.696 6.020 7.266
4.742 2.843 2.884
1.236 0.344 6.282
3.696 3.527 7.266
4.742 0.339 2.884
2.656 0.339 9.657
0.190 3.521 10.664
2.276 6.026 3.890
3.632 4.773 2.504
3.766 4.773 9.278
4.835 1.591 0.935
1.166 1.591 4.270
0.097 4.773 12.612
2.369 4.773 5.838
2.563 1.591 7.709
1.300 1.591 11.044
4.828 4.773 4.909
3.684 1.591 12.089
3.714 1.591 5.315
2.362 1.591 1.864
2.570 4.773 11.683
1.218 4.773 8.233
0.104 1.591 8.638
1.248 4.773 1.459

***

NdSm3Dy6Er2 | Alexandria | PBE | optimized geometry; DOS(E_F) = 15.14 states/eV/f.u.; space-group type = C2/m (12); VASP energy = -4.623 eV/atom
1.0
-3.778 1.740 -4.569
0.184 -5.918 1.768
-7.241 3.441 8.685
Er Nd Dy Sm
2 1 6 3
Cartesian
-1.136 -3.366 -0.344
-2.458 -0.812 -2.458
0.000 0.000 0.000
-8.797 0.734 3.368
-3.362 1.088 0.398
-2.038 -1.471 2.515
-6.343 1.538 5.825
-7.473 -1.825 5.485
-4.492 -2.275 0.058
-4.098 -2.919 5.052
-6.737 2.182 0.831
-5.418 -0.368 2.942

***

Zn2AgSn2 | Alexandria | PBE | optimized geometry; DOS(E_F) = 1.40 states/eV/f.u.; space-group type = P4/mbm (127); VASP energy = -2.503 eV/atom
1.0
7.976 0.000 0.000
0.000 7.976 0.000
0.000 0.000 3.511
Sn Ag Zn
4 2 4
Cartesian
1.522 2.466 0.000
5.510 1.522 0.000
2.466 6.454 0.000
6.454 5.510 0.000
0.000 0.000 0.000
3.988 3.988 0.000
0.913 4.901 1.755
7.063 3.075 1.755
3.075 0.913 1.755
4.901 7.063 1.755

***

CsCu4H7 | Alexandria | PBE | optimized geometry; DOS(E_F) = 0.95 states/eV/f.u.; space-group type = Pmmn (59); VASP energy = -3.329 eV/atom
1.0
-1.065 -2.539 2.246
-0.724 -3.347 -4.126
12.758 -4.270 1.223
H Cu Cs
14 8 2
Cartesian
8.750 -7.487 -1.430
1.173 -2.841 -2.583
10.101 -6.040 0.847
1.675 -5.119 -2.108
1.091 -3.025 -0.017
3.922 -3.976 0.249
9.103 -3.600 0.320
4.003 -3.794 -2.316
-1.025 -3.512 -1.571
7.268 -5.096 0.570
10.585 -5.991 -1.680
3.420 -1.698 -0.225
6.119 -3.306 -0.762
7.752 -5.048 -1.956
10.133 -7.146 -0.390
0.617 -3.961 -1.303
2.522 -3.791 -3.017
4.478 -2.855 -1.032
7.721 -3.940 -0.721
9.034 -5.970 -2.393
2.573 -3.025 0.683
8.819 -5.115 1.282
-0.119 -0.520 -0.570
5.213 -6.298 -1.762

***

SnMoW3 | Alexandria | PBE | optimized geometry; DOS(E_F) = 8.26 states/eV/f.u.; space-group type = Pm-3m (221); VASP energy = -7.823 eV/atom
1.0
4.797 0.000 0.000
0.000 4.797 0.000
0.000 0.000 4.797
W Sn Mo
3 1 1
Cartesian
0.000 2.399 0.000
2.399 0.000 0.000
0.000 0.000 2.399
0.000 0.000 0.000
2.399 2.399 2.399

***

Be5CoNi4 | Alexandria | PBE | optimized geometry; DOS(E_F) = 4.86 states/eV/f.u.; space-group type = P4/mmm (123); VASP energy = -5.341 eV/atom
1.0
-2.235 0.237 1.329
0.059 -2.551 0.554
6.699 2.504 10.819
Be Ni Co
5 4 1
Cartesian
2.262 0.095 6.351
4.978 1.110 10.738
-0.454 -0.920 1.965
0.911 -0.410 4.170
3.612 0.600 8.532
1.337 0.500 2.159
4.021 1.503 6.494
2.678 1.001 4.326
5.362 2.004 8.660
0.000 0.000 0.000

***

HCl | Alexandria | PBE | optimized geometry; DOS(E_F) = 0.00 states/eV/f.u.; space-group type = F-43m (216); VASP energy = -2.363 eV/atom
1.0
4.601 0.000 0.000
0.000 4.601 0.000
0.000 0.000 4.601
H Cl
4 4
Cartesian
1.150 1.150 1.150
3.450 1.150 3.450
3.450 3.450 1.150
1.150 3.450 3.450
0.000 0.000 0.000
0.000 2.300 2.300
2.300 2.300 0.000
2.300 0.000 2.300

***

- Look up the DOS(E_F) of the fifth one.
  0.95 states/eV/f.u.

***

Repeat the sixth record exactly.
SnMoW3 | Alexandria | PBE | optimized geometry; DOS(E_F) = 8.26 states/eV/f.u.; space-group type = Pm-3m (221); VASP energy = -7.823 eV/atom
1.0
4.797 0.000 0.000
0.000 4.797 0.000
0.000 0.000 4.797
W Sn Mo
3 1 1
Cartesian
0.000 2.399 0.000
2.399 0.000 0.000
0.000 0.000 2.399
0.000 0.000 0.000
2.399 2.399 2.399

***

- DOS(E_F) of number 5 (CsCu4H7)?
  0.95 states/eV/f.u.

***

- The highest DOS(E_F) belongs to which entry?
  NdSm3Dy6Er2